No. 1
Density functional theory data (GGA-PBE) for IrCl after structural relaxation.

The value obtained for the total magnetic moment is 0.0 Bohr magnetons per cell. The calculation puts the formation energy (no corrections) at 0.851 eV/atom. For the distance to the lowest polymorph of the same formula, the calculation gives 717 meV per atom.

The space group is Cmmm (No. 65) and the conventional cell measures 2.8261, 5.3222 and 4.2208 Å, with angles of 90.00, 90.00 and 90.00 degrees. The inequivalent atoms are Ir at (0.0000, 0.0000, 0.0000) and Cl at (0.0000, 0.5000, 0.5000).

No. 2
Density functional theory data (GGA-PBE) for CoSi2PtBr after structural relaxation.

The value obtained for the total magnetic moment is 0.0 Bohr magnetons per cell. The calculation puts the formation energy (no corrections) at 0.377 eV/atom.

The space group is P4/mmm (No. 123) and the conventional cell measures 4.1616, 4.1616 and 5.2569 Å, with angles of 90.00, 90.00 and 90.00 degrees. The inequivalent atoms are Co at (0.0000, 0.0000, 0.0000), Si at (0.0000, 0.5000, 0.0000), Pt at (0.0000, 0.0000, 0.5000) and Br at (0.5000, 0.5000, 0.5000).

No. 3
Density functional theory data (GGA-PBE) for HgSb2Pt after structural relaxation.

The value obtained for the total magnetic moment is 0.0 Bohr magnetons per cell. The calculation puts the formation energy (no corrections) at -0.076 eV/atom.

The space group is Cm (No. 8) and the conventional cell measures 12.2217, 4.0653 and 4.9190 Å, with angles of 90.00, 97.65 and 90.00 degrees. The inequivalent atoms are Hg at (0.0000, 0.0000, 0.0000), Sb at (0.2214, 0.0000, 0.8783), Sb at (0.3823, 0.0000, 0.3584) and Pt at (0.3027, 0.5000, 0.6294).

| no. | total energy (eV per atom) |
| --- | --- |
| 1 | -4.50 |
| 2 | -4.76 |
| 3 | -3.72 |